(1)
VASP calculation (PBE) on a relaxed structure of KTiIn3.

Output
- Space group: No. 221
- E above lowest polymorph: 1254 meV/atom

Structure (POSCAR):
```
KTiIn3
1.0
5.638 0.000 0.000
0.000 5.638 0.000
0.000 0.000 5.638
K Ti In
1 1 3
direct
0.000 0.000 0.000
0.500 0.500 0.500
0.000 0.000 0.500
0.000 0.500 0.000
0.500 0.000 0.000
```


(2)
VASP calculation (PBE) on a relaxed structure of KTiIn3.

Output
- Space group: No. 221
- E above lowest polymorph: 0 meV/atom

Structure (POSCAR):
```
KTiIn3
1.0
5.475 0.000 0.000
0.000 5.475 0.000
0.000 0.000 5.475
K Ti In
1 1 3
direct
0.000 0.000 0.000
0.500 0.500 0.500
0.000 0.500 0.500
0.500 0.000 0.500
0.500 0.500 0.000
```


(3)
VASP calculation (PBE) on a relaxed structure of KTiTlIn2.

Output
- Space group: No. 123

Structure (POSCAR):
```
KTiTlIn2
1.0
5.456 0.000 0.000
0.000 5.456 0.000
0.000 0.000 6.085
K Ti Tl In
1 1 1 2
direct
0.000 0.000 0.000
0.000 0.000 0.500
0.500 0.500 0.000
0.000 0.500 0.500
0.500 0.000 0.500
```


(4)
VASP calculation (PBE) on a relaxed structure of KTl5In.

Output
- Space group: No. 123
- E above lowest polymorph: 0 meV/atom

Structure (POSCAR):
```
KTl5In
1.0
4.783 0.000 0.000
0.000 4.783 0.000
0.000 0.000 10.676
K Tl In
1 5 1
direct
0.000 0.000 0.000
0.000 0.000 0.500
0.000 0.500 0.270
0.000 0.500 0.730
0.500 0.000 0.270
0.500 0.000 0.730
0.500 0.500 0.500
```


(5)
VASP calculation (PBE) on a relaxed structure of K2TlIn.

Output
- Space group: No. 166
- E above lowest polymorph: 172 meV/atom

Structure (POSCAR):
```
K2TlIn
1.0
1.891 1.092 12.112
-1.891 1.092 12.112
0.000 -2.184 12.112
K Tl In
2 1 1
direct
0.250 0.250 0.250
0.750 0.750 0.750
0.500 0.500 0.500
0.000 0.000 0.000
```


(6)
VASP calculation (PBE) on a relaxed structure of KTlIn2.

Output
- Space group: No. 225
- E above lowest polymorph: 118 meV/atom

Structure (POSCAR):
```
KTlIn2
1.0
0.000 3.948 3.948
3.948 0.000 3.948
3.948 3.948 0.000
K Tl In
1 1 2
direct
0.000 0.000 0.000
0.500 0.500 0.500
0.250 0.250 0.250
0.750 0.750 0.750
```


| no. | size of the total moment (μB per cell) | calculated formation energy (meV/atom) |
| --- | --- | --- |
| 1 | 0.0 | 1419 |
| 2 | 1.6 | 165 |
| 3 | 1.8 | 538 |
| 4 | 0.0 | -20 |
| 5 | 0.0 | 76 |
| 6 | 0.0 | 12 |